[1]
Density functional theory data (PBE-GGA) for an optimized crystal structure of Rb2CaNpO6.

Values from the calculation:
D(E_F) ... 10.13 states/eV per cell
Formation energy without anion corrections ... -23.176 eV/f.u.
Total DFT energy (no corrections) ... -6.980 eV/atom

Lattice parameters (Å, degrees): 6.2075 6.2068 6.2069 60.00 60.00 90.00
Closest atoms and distances in Å follow each position.
Fractional coordinates of all 10 atoms:
1 Rb 0.2498 0.7499 0.5001  12 O 3.11
2 Rb 0.7502 0.2501 0.4999  12 O 3.11
3 Ca 0.0000 0.0000 0.0000  6 O 2.38
4 Np 0.5000 0.5000 0.0000  6 O 2.01
5 O 0.2706 0.7294 0.0000  1 Np 2.01
6 O 0.7294 0.7294 0.0000  1 Np 2.01
7 O 0.2706 0.2706 0.4588  1 Np 2.01
8 O 0.7294 0.2706 0.0000  1 Np 2.01
9 O 0.2706 0.2706 0.0000  1 Np 2.01
10 O 0.7294 0.7294 0.5412  1 Np 2.01

***

[2]
Density functional theory data (PBE-GGA) for an optimized crystal structure of RbCa2NpO6.

Values from the calculation:
Formation energy without anion corrections ... -26.817 eV/f.u.
Total DFT energy (no corrections) ... -7.448 eV/atom

Lattice parameters (Å, degrees): 5.9989 5.9989 6.4186 62.14 62.14 60.00
Closest atoms and distances in Å follow each position.
Fractional coordinates of all 10 atoms:
1 Rb 0.7927 0.7927 0.6219  3 O 2.69
2 Ca 0.5296 0.5296 0.4112  6 O 2.36-2.54
3 Ca 0.0074 0.0074 0.9778  6 O 2.29-2.49
4 Np 0.3265 0.3265 0.0205  6 O 2.02-2.06
5 O 0.5569 0.2674 0.2123  1 Np 2.06
6 O 0.2674 0.9634 0.2123  1 Np 2.06
7 O 0.9634 0.5569 0.2123  1 Np 2.06
8 O 0.3416 0.6913 0.7822  1 Np 2.02
9 O 0.6913 0.1848 0.7823  1 Np 2.02
10 O 0.1848 0.3416 0.7823  1 Np 2.02

***

[3]
Density functional theory data (PBE-GGA) for an optimized crystal structure of RbCaNpO6.

Values from the calculation:
D(E_F) ... 4.10 states/eV per cell
Formation energy without anion corrections ... -18.972 eV/f.u.
Total DFT energy (no corrections) ... -7.181 eV/atom

Lattice parameters (Å, degrees): 5.9572 5.9571 5.9116 90.00 89.99 59.99
Closest atoms and distances in Å follow each position.
Fractional coordinates of all 9 atoms:
1 Rb 0.0000 0.0000 0.0000  6 O 2.94
2 Ca 0.6666 0.6667 0.5000  6 O 2.36
3 Np 0.3333 0.3334 0.5000  6 O 1.96
4 O 0.0484 0.3520 0.3194  1 Np 1.96
5 O 0.3520 0.0484 0.6805  1 Np 1.96
6 O 0.5994 0.3522 0.6806  1 Np 1.96
7 O 0.0482 0.5997 0.6805  1 Np 1.96
8 O 0.3522 0.5995 0.3194  1 Np 1.96
9 O 0.5996 0.0483 0.3195  1 Np 1.96

***

[4]
Density functional theory data (PBE-GGA) for an optimized crystal structure of Rb2CaNpO4.

Values from the calculation:
D(E_F) ... 7.11 states/eV per cell
Formation energy without anion corrections ... -18.978 eV/f.u.
Total DFT energy (no corrections) ... -6.961 eV/atom

Lattice parameters (Å, degrees): 3.5782 6.1143 6.8495 107.26 90.00 90.00
Closest atoms and distances in Å follow each position.
Fractional coordinates of all 8 atoms:
1 Rb 0.5000 0.0000 0.5000  6 O 2.97-3.08
2 Rb 0.0000 0.5000 0.5000  6 O 2.87-2.91
3 Ca 0.0000 0.0000 0.0000  6 O 2.42-2.43
4 Np 0.5000 0.5000 0.0000  6 O 2.18-2.34
5 O 0.5000 0.2532 0.1727  1 Np 2.18, 2 Ca 2.43
6 O 0.5000 0.7468 0.8273  1 Np 2.18, 2 Ca 2.43
7 O 0.0000 0.2864 0.8201  2 Np 2.34, 1 Ca 2.42
8 O 0.0000 0.7136 0.1799  2 Np 2.34, 1 Ca 2.42

***

[5]
Density functional theory data (PBE-GGA) for an optimized crystal structure of Rb2Ca2NpO6.

Values from the calculation:
Formation energy without anion corrections ... -28.894 eV/f.u.
Total DFT energy (no corrections) ... -7.048 eV/atom

Lattice parameters (Å, degrees): 5.9752 5.9752 6.9478 98.97 98.97 118.99
Closest atoms and distances in Å follow each position.
Fractional coordinates of all 11 atoms:
1 Rb 0.8268 0.1732 0.0000  6 O 2.91-3.05
2 Rb 0.1732 0.8268 0.0000  6 O 2.91-3.05
3 Ca 0.3357 0.6643 0.5000  6 O 2.37-2.43
4 Ca 0.6643 0.3357 0.5000  6 O 2.37-2.43
5 Np 0.0000 0.0000 0.5000  6 O 2.09-2.10
6 O 0.7682 0.7682 0.6687  1 Np 2.09
7 O 0.0524 0.3542 0.6677  1 Np 2.10
8 O 0.2318 0.2318 0.3313  1 Np 2.09
9 O 0.3542 0.0524 0.6677  1 Np 2.10
10 O 0.9476 0.6458 0.3323  1 Np 2.10
11 O 0.6458 0.9476 0.3323  1 Np 2.10

***

[6]
Density functional theory data (PBE-GGA) for an optimized crystal structure of CaNpReO6.

Values from the calculation:
D(E_F) ... 4.87 states/eV per cell
Formation energy without anion corrections ... -21.801 eV/f.u.
Total DFT energy (no corrections) ... -8.771 eV/atom

Lattice parameters (Å, degrees): 5.4479 5.4479 10.0504 90.00 90.00 120.00
Closest atoms and distances in Å follow each position.
Fractional coordinates of all 18 atoms:
1 Ca 0.0000 0.0000 0.0000  6 O 2.41
2 Ca 0.0000 0.0000 0.5000  6 O 2.41
3 Np 0.3333 0.6667 0.2500  6 O 2.16
4 Np 0.6667 0.3333 0.7500  6 O 2.16
5 Re 0.6667 0.3333 0.2500  6 O 1.98
6 Re 0.3333 0.6667 0.7500  6 O 1.98
7 O 0.6551 0.6311 0.1412  1 Re 1.98, 1 Np 2.16
8 O 0.9760 0.3449 0.1412  1 Re 1.98, 1 Np 2.16
9 O 0.3449 0.9760 0.6412  1 Re 1.98, 1 Np 2.16
10 O 0.0240 0.6551 0.8588  1 Re 1.98, 1 Np 2.16
11 O 0.3689 0.3449 0.3588  1 Re 1.98, 1 Np 2.16
12 O 0.9760 0.6311 0.3588  1 Re 1.98, 1 Np 2.16
13 O 0.6311 0.9760 0.8588  1 Re 1.98, 1 Np 2.16
14 O 0.6551 0.0240 0.3588  1 Re 1.98, 1 Np 2.16
15 O 0.0240 0.3689 0.6412  1 Re 1.98, 1 Np 2.16
16 O 0.3689 0.0240 0.1412  1 Re 1.98, 1 Np 2.16
17 O 0.6311 0.6551 0.6412  1 Re 1.98, 1 Np 2.16
18 O 0.3449 0.3689 0.8588  1 Re 1.98, 1 Np 2.16